Pm2NiAgO6: optimized geometry, PBE with a Hubbard U.

Results
VASP energy (eV/atom): -6.345
Calculated volume (A^3/atom): 12.7

Cell lengths 5.458, 6.066, 7.646 Å; angles 90.00, 90.19, 90.00 degrees
Site moments in Bohr magnetons follow the coordinates.
Atoms (fractional coordinates):
Pm  0.024  0.914  0.249  0.01
Pm  0.524  0.586  0.749  0.01
Pm  0.976  0.086  0.751  0.01
Pm  0.476  0.414  0.251  0.01
Ni  0.500  0.000  0.000  1.53
Ni  0.000  0.500  0.500  1.53
Ag  0.500  0.000  0.500  -0.14
Ag  0.000  0.500  0.000  -0.14
O  0.314  0.689  0.054  -0.01
O  0.814  0.811  0.554  -0.01
O  0.686  0.311  0.946  -0.01
O  0.186  0.189  0.446  -0.01
O  0.294  0.670  0.446  -0.18
O  0.794  0.830  0.946  -0.18
O  0.706  0.330  0.554  -0.18
O  0.206  0.170  0.054  -0.18
O  0.883  0.540  0.254  -0.01
O  0.383  0.960  0.754  -0.01
O  0.117  0.460  0.746  -0.01
O  0.617  0.040  0.246  -0.01